{"formula": "BaZn2PdF8", "functional": "PBE-GGA", "state": "optimized geometry", "lattice": [[-2.854, -0.091, -5.255], [5.757, -1.591, 0.304], [-2.033, -7.119, 1.227]], "species": ["Ba", "Zn", "Zn", "Pd", "F", "F", "F", "F", "F", "F", "F", "F"], "fractional_positions": [[0.000, 0.000, 0.500], [0.333, 0.667, 0.732], [0.667, 0.333, 0.268], [0.000, 0.000, 0.000], [0.154, 0.307, 0.799], [0.154, 0.846, 0.799], [0.693, 0.846, 0.799], [0.307, 0.154, 0.201], [0.667, 0.333, 0.521], [0.333, 0.667, 0.479], [0.846, 0.693, 0.201], [0.846, 0.154, 0.201]], "volume_a3_per_atom": 19.37, "total_magnetization_mub_per_cell": 1.98, "formation_energy_uncorrected_ev_per_atom": -2.29, "energy_ev_per_atom": -4.347}